[1]
# Tb3Dy2Ho4 (PBE, optimized geometry)
# Energy of formation in meV per atom: 17
# N(E_F) in states/eV/atom: 1.301
# Volume in A^3/atom: 31.14
# Final energy in eV per atom: -4.58
data_Tb3Dy2Ho4
_symmetry_space_group_name_H-M 'P 1'
_symmetry_Int_Tables_number 1
_symmetry_space_group_name_Hall 'P 1'
_cell_length_a 6.114
_cell_length_b 6.123
_cell_length_c 12.716
_cell_angle_alpha 118.76
_cell_angle_beta 103.87
_cell_angle_gamma 119.95
loop_
_atom_site_label
_atom_site_type_symbol
_atom_site_fract_x
_atom_site_fract_y
_atom_site_fract_z
_atom_site_occupancy
Ho1 Ho 0.666 0.333 0.000 1
Ho2 Ho 0.334 0.667 0.000 1
Ho3 Ho 0.111 0.222 0.333 1
Ho4 Ho 0.889 0.778 0.667 1
Dy1 Dy 0.222 0.445 0.667 1
Dy2 Dy 0.778 0.555 0.333 1
Tb1 Tb 0.444 0.889 0.333 1
Tb2 Tb 0.556 0.111 0.667 1
Tb3 Tb 0.000 0.000 0.000 1

=====

[2]
# In6BiPb2 (PBE, optimized geometry)
# Energy of formation in meV per atom: 204
# N(E_F) in states/eV/atom: 0.496
# Volume in A^3/atom: 33.73
# Final energy in eV per atom: -2.88
data_In6BiPb2
_symmetry_space_group_name_H-M 'P 1'
_symmetry_Int_Tables_number 1
_symmetry_space_group_name_Hall 'P 1'
_cell_length_a 4.308
_cell_length_b 4.308
_cell_length_c 16.642
_cell_angle_alpha 97.44
_cell_angle_beta 97.44
_cell_angle_gamma 90.00
loop_
_atom_site_label
_atom_site_type_symbol
_atom_site_fract_x
_atom_site_fract_y
_atom_site_fract_z
_atom_site_occupancy
Pb1 Pb 0.823 0.823 0.647 1
Pb2 Pb 0.177 0.177 0.353 1
In1 In 0.750 0.250 0.500 1
In2 In 0.161 0.161 0.833 1
In3 In 0.250 0.750 0.500 1
In4 In 0.328 0.839 0.167 1
In5 In 0.839 0.328 0.167 1
In6 In 0.672 0.672 0.833 1
Bi1 Bi 0.500 0.500 0.000 1

=====

[3]
# Ta2Pd7Pt (PBE, optimized geometry)
# Energy of formation in meV per atom: 275
# N(E_F) in states/eV/atom: 0.557
# Volume in A^3/atom: 19.58
# Final energy in eV per atom: -6.33
data_Ta2Pd7Pt
_symmetry_space_group_name_H-M 'P 1'
_symmetry_Int_Tables_number 1
_symmetry_space_group_name_Hall 'P 1'
_cell_length_a 3.989
_cell_length_b 7.733
_cell_length_c 7.733
_cell_angle_alpha 124.82
_cell_angle_beta 90.00
_cell_angle_gamma 90.00
loop_
_atom_site_label
_atom_site_type_symbol
_atom_site_fract_x
_atom_site_fract_y
_atom_site_fract_z
_atom_site_occupancy
Pd1 Pd 0.500 0.298 0.085 1
Pd2 Pd 0.000 0.199 0.801 1
Pd3 Pd 0.500 0.702 0.915 1
Pd4 Pd 0.500 0.500 0.500 1
Pd5 Pd 0.500 0.085 0.298 1
Pd6 Pd 0.000 0.801 0.199 1
Pd7 Pd 0.500 0.915 0.702 1
Pt1 Pt 0.000 0.000 0.000 1
Ta1 Ta 0.500 0.308 0.692 1
Ta2 Ta 0.500 0.692 0.308 1

=====

[4]
# Y4TlPb (PBE, optimized geometry)
# Energy of formation in meV per atom: -289
# Polymorph energy (0 for the lowest one) in meV per atom: 0.0
# N(E_F) in states/eV/atom: 1.122
# Volume in A^3/atom: 30.59
# Final energy in eV per atom: -5.61
data_Y4TlPb
_symmetry_space_group_name_H-M 'P 1'
_symmetry_Int_Tables_number 1
_symmetry_space_group_name_Hall 'P 1'
_cell_length_a 6.406
_cell_length_b 8.486
_cell_length_c 8.372
_cell_angle_alpha 114.11
_cell_angle_beta 104.62
_cell_angle_gamma 104.87
loop_
_atom_site_label
_atom_site_type_symbol
_atom_site_fract_x
_atom_site_fract_y
_atom_site_fract_z
_atom_site_occupancy
Y1 Y 0.653 0.072 0.375 1
Y2 Y 0.312 0.620 0.843 1
Y3 Y 0.031 0.223 0.843 1
Y4 Y 0.347 0.928 0.625 1
Y5 Y 0.969 0.777 0.157 1
Y6 Y 0.779 0.697 0.625 1
Y7 Y 0.221 0.303 0.375 1
Y8 Y 0.688 0.380 0.157 1
Pb1 Pb 0.627 0.377 0.753 1
Pb2 Pb 0.373 0.623 0.247 1
Tl1 Tl 0.251 0.001 0.002 1
Tl2 Tl 0.749 0.999 0.998 1

=====

[5]
# ZrCd2Re (PBE, optimized geometry)
# Energy of formation in meV per atom: 394
# Polymorph energy (0 for the lowest one) in meV per atom: 234.7
# N(E_F) in states/eV/atom: 0.869
# Volume in A^3/atom: 19.12
# Final energy in eV per atom: -5.31
data_ZrCd2Re
_symmetry_space_group_name_H-M 'P 1'
_symmetry_Int_Tables_number 1
_symmetry_space_group_name_Hall 'P 1'
_cell_length_a 2.864
_cell_length_b 2.864
_cell_length_c 9.325
_cell_angle_alpha 90.00
_cell_angle_beta 90.00
_cell_angle_gamma 90.00
loop_
_atom_site_label
_atom_site_type_symbol
_atom_site_fract_x
_atom_site_fract_y
_atom_site_fract_z
_atom_site_occupancy
Re1 Re 0.500 0.500 0.250 1
Cd1 Cd 0.000 0.000 0.015 1
Cd2 Cd 0.000 0.000 0.485 1
Zr1 Zr 0.500 0.500 0.750 1

=====

[6]
# DyPu3I8 (PBE, optimized geometry)
# N(E_F) in states/eV/atom: 4.144
# Volume in A^3/atom: 42.49
# Final energy in eV per atom: -6.07
data_DyPu3I8
_symmetry_space_group_name_H-M 'P 1'
_symmetry_Int_Tables_number 1
_symmetry_space_group_name_Hall 'P 1'
_cell_length_a 8.577
_cell_length_b 8.759
_cell_length_c 9.360
_cell_angle_alpha 118.96
_cell_angle_beta 90.00
_cell_angle_gamma 119.31
loop_
_atom_site_label
_atom_site_type_symbol
_atom_site_fract_x
_atom_site_fract_y
_atom_site_fract_z
_atom_site_occupancy
I1 I 0.756 0.998 0.755 1
I2 I 0.243 0.485 0.244 1
I3 I 0.250 0.500 0.750 1
I4 I 0.757 0.515 0.756 1
I5 I 0.244 0.002 0.245 1
I6 I 0.758 0.002 0.245 1
I7 I 0.242 0.998 0.755 1
I8 I 0.750 0.500 0.250 1
Pu1 Pu 0.500 0.000 0.000 1
Pu2 Pu 0.000 0.500 0.000 1
Pu3 Pu 0.500 0.500 0.000 1
Dy1 Dy 0.000 0.000 0.000 1

=====

Which of these has the highest final energy? In6BiPb2